YNbFe3 | GGA-PBEsol | optimized geometry

Space group: No. 221
VASP energy in eV/atom: -7.0442

Unit cell a=4.432 b=4.432 c=4.432 alpha=90.00 beta=90.00 gamma=90.00
Positions (direct):
Y (0.000, 0.000, 0.000)
Nb (0.500, 0.500, 0.500)
Fe (0.000, 0.500, 0.000)
Fe (0.000, 0.000, 0.500)
Fe (0.500, 0.000, 0.000)

ScIn2Cu | GGA-PBEsol | optimized geometry

Space group: No. 123
VASP energy in eV/atom: -4.4961

Unit cell a=4.174 b=4.266 c=4.266 alpha=90.00 beta=90.00 gamma=90.00
Positions (direct):
Sc (0.500, 0.500, 0.500)
Cu (0.500, 0.000, 0.000)
In (0.000, 0.000, 0.500)
In (0.000, 0.500, 0.000)

Bi2Os2O7 | GGA-PBEsol | optimized geometry

Space group: No. 227
Formation energy from raw total energies in meV per atom: -1077
VASP energy in eV/atom: -7.4174

Unit cell a=7.307 b=7.307 c=7.307 alpha=60.00 beta=60.00 gamma=60.00
Positions (direct):
Bi (0.625, 0.625, 0.125)
Bi (0.625, 0.125, 0.625)
Bi (0.625, 0.625, 0.625)
Bi (0.125, 0.625, 0.625)
Os (0.125, 0.625, 0.125)
Os (0.125, 0.125, 0.625)
Os (0.625, 0.125, 0.125)
Os (0.125, 0.125, 0.125)
O (0.798, 0.202, 0.202)
O (0.202, 0.798, 0.202)
O (0.452, 0.048, 0.452)
O (0.202, 0.202, 0.798)
O (0.750, 0.750, 0.750)
O (0.798, 0.798, 0.202)
O (0.048, 0.048, 0.452)
O (0.202, 0.798, 0.798)
O (0.452, 0.048, 0.048)
O (0.500, 0.500, 0.500)
O (0.048, 0.452, 0.452)
O (0.048, 0.452, 0.048)
O (0.798, 0.202, 0.798)
O (0.452, 0.452, 0.048)

NaMg2Ir | GGA-PBEsol | optimized geometry

Space group: No. 122
VASP energy in eV/atom: -3.1504

Unit cell a=4.304 b=4.304 c=9.496 alpha=103.10 beta=103.10 gamma=90.00
Positions (direct):
Na (0.750, 0.250, 0.500)
Na (0.500, 0.500, 0.000)
Mg (0.332, 0.875, 0.250)
Mg (0.918, 0.375, 0.250)
Mg (0.125, 0.082, 0.750)
Mg (0.625, 0.668, 0.750)
Ir (0.250, 0.750, 0.500)
Ir (0.000, 0.000, 0.000)